1.
{
  "formula": "Y2TlHO",
  "functional": "GGA-PBE",
  "state": "relaxed",
  "cell": [[-1.855, 1.855, 6.842], [1.855, -1.855, 6.842], [1.855, 1.855, -6.842]],
  "species": ["Y", "Y", "Tl", "H", "O"],
  "fractional_positions": [[0.158, 0.158, 0.000], [0.842, 0.842, 0.000], [0.500, 0.500, 0.000], [0.250, 0.750, 0.500], [0.750, 0.250, 0.500]],
  "magnetic_moment_mub_per_cell": 0.00,
  "dft_energy_ev_per_cell": -31.4
}


2.
{
  "formula": "Tl2ZnHO",
  "functional": "GGA-PBE",
  "state": "relaxed",
  "cell": [[5.250, 0.000, 0.000], [0.000, 5.250, 0.000], [0.000, 0.000, 3.449]],
  "species": ["Tl", "Tl", "Zn", "H", "O"],
  "fractional_positions": [[0.000, 0.500, 0.000], [0.500, 0.000, 0.000], [0.000, 0.000, 0.000], [0.000, 0.000, 0.500], [0.500, 0.500, 0.500]],
  "magnetic_moment_mub_per_cell": 0.00,
  "dft_energy_ev_per_cell": -12.9
}


3.
{
  "formula": "Tm2H3O",
  "functional": "GGA-PBE",
  "state": "relaxed",
  "cell": [[5.169, 0.000, 0.000], [0.000, 5.169, 0.000], [0.000, 0.000, 5.169]],
  "species": ["Tm", "Tm", "Tm", "Tm", "H", "H", "H", "H", "H", "H", "O", "O"],
  "fractional_positions": [[0.000, 0.000, 0.000], [0.000, 0.500, 0.500], [0.500, 0.000, 0.500], [0.500, 0.500, 0.000], [0.250, 0.250, 0.750], [0.250, 0.750, 0.250], [0.250, 0.750, 0.750], [0.750, 0.250, 0.250], [0.750, 0.250, 0.750], [0.750, 0.750, 0.250], [0.250, 0.250, 0.250], [0.750, 0.750, 0.750]],
  "magnetic_moment_mub_per_cell": 0.00,
  "dft_energy_ev_per_cell": -65.0
}


4.
{
  "formula": "TmHO2",
  "functional": "GGA-PBE",
  "state": "relaxed",
  "cell": [[10.813, 0.000, 0.000], [0.000, 3.464, 0.000], [0.000, 0.000, 4.994]],
  "species": ["Tm", "Tm", "Tm", "Tm", "H", "H", "H", "H", "O", "O", "O", "O", "O", "O", "O", "O"],
  "fractional_positions": [[0.144, 0.250, 0.097], [0.356, 0.750, 0.597], [0.644, 0.250, 0.403], [0.856, 0.750, 0.903], [0.099, 0.750, 0.636], [0.401, 0.250, 0.136], [0.599, 0.750, 0.864], [0.901, 0.250, 0.364], [0.066, 0.750, 0.824], [0.191, 0.750, 0.345], [0.309, 0.250, 0.845], [0.434, 0.250, 0.324], [0.566, 0.750, 0.676], [0.691, 0.750, 0.155], [0.809, 0.250, 0.655], [0.934, 0.250, 0.176]],
  "magnetic_moment_mub_per_cell": 0.00,
  "dft_energy_ev_per_cell": -114.2
}